The following is a PBE+U calculation of an optimized crystal structure of V2CuPbO8, from the Alexandria database.

Unit cell a=5.1530 b=5.1530 c=6.2207 alpha=90.00 beta=90.00 gamma=120.00
Fractional coordinates of all 12 atoms:
V1 0.3333 0.6667 0.3949
V2 0.6667 0.3333 0.6051
Cu1 0.0000 0.0000 0.5000
Pb1 0.0000 0.0000 0.0000
O1 0.0516 0.3556 0.6412
O2 0.3040 0.9484 0.6412
O3 0.3333 0.6667 0.1211
O4 0.3556 0.3040 0.3588
O5 0.6444 0.6960 0.6412
O6 0.6667 0.3333 0.8789
O7 0.6960 0.0516 0.3588
O8 0.9484 0.6444 0.3588

* total DFT energy (no corrections): -6.31 eV per atom
* space-group type: P-3 (147)